Entry 1:
Density functional theory data (PBE) for a relaxed structure of Pd3PbAu4.

Computed properties:
* calculated volume: 144 Å³/cell
* relative energy among the computed polymorphs: 4.3 kJ per mole of atoms
* formation energy from the elements: -0.075 eV per atom

Cell lengths 4.132, 4.121, 10.667 Å; angles 125.12, 101.17, 90.00 degrees
Sites, in units of the cell vectors:
Pd: 0.000 0.500 0.000
Pd: 0.249 0.246 0.498
Pd: 0.751 0.754 0.502
Pb: 0.500 0.000 0.000
Au: 0.634 0.904 0.268
Au: 0.366 0.096 0.732
Au: 0.866 0.597 0.733
Au: 0.134 0.403 0.267

Entry 2:
Density functional theory data (PBE) for a relaxed structure of PdPb2Au2.

Computed properties:
* calculated volume: 236 Å³/cell
* relative energy among the computed polymorphs: 21.2 kJ per mole of atoms
* formation energy from the elements: 0.091 eV per atom

Cell lengths 7.650, 7.650, 4.028 Å; angles 90.00, 90.00, 90.00 degrees
Sites, in units of the cell vectors:
Pb: 0.329 0.829 0.000
Pb: 0.829 0.671 0.000
Pb: 0.671 0.171 0.000
Pb: 0.171 0.329 0.000
Au: 0.134 0.634 0.500
Au: 0.634 0.866 0.500
Au: 0.866 0.366 0.500
Au: 0.366 0.134 0.500
Pd: 0.000 0.000 0.000
Pd: 0.500 0.500 0.000

Entry 3:
Density functional theory data (PBE) for a relaxed structure of PdPb4Au3.

Computed properties:
* calculated volume: 192 Å³/cell
* formation energy from the elements: -0.124 eV per atom

Cell lengths 3.906, 4.428, 11.096 Å; angles 90.00, 90.00, 90.00 degrees
Sites, in units of the cell vectors:
Pb: 0.500 0.500 0.346
Pb: 0.000 0.500 0.866
Pb: 0.000 0.000 0.140
Pb: 0.500 0.000 0.646
Au: 0.000 0.500 0.587
Au: 0.000 0.000 0.415
Au: 0.500 0.000 0.917
Pd: 0.500 0.500 0.085

Entry 4:
Density functional theory data (PBE) for a relaxed structure of PdPbAu2.

Computed properties:
* calculated volume: 78 Å³/cell
* formation energy from the elements: -0.037 eV per atom

Cell lengths 4.503, 4.172, 4.172 Å; angles 90.00, 90.00, 90.00 degrees
Sites, in units of the cell vectors:
Pb: 0.500 0.500 0.500
Au: 0.000 0.000 0.500
Au: 0.000 0.500 0.000
Pd: 0.500 0.000 0.000

Entry 5:
Density functional theory data (PBE) for a relaxed structure of PdPbAu2.

Computed properties:
* calculated volume: 87 Å³/cell
* formation energy from the elements: -0.005 eV per atom

Cell lengths 4.589, 4.589, 5.462 Å; angles 65.16, 65.16, 60.00 degrees
Sites, in units of the cell vectors:
Pd: 0.680 0.680 0.960
Pb: 0.487 0.487 0.540
Au: 0.061 0.061 0.816
Au: 0.272 0.272 0.183

Entry 6:
Density functional theory data (PBE) for a relaxed structure of Pd7Pb2Au3.

Computed properties:
* calculated volume: 210 Å³/cell
* formation energy from the elements: -0.166 eV per atom

Cell lengths 4.910, 4.909, 9.825 Å; angles 108.45, 108.48, 74.79 degrees
Sites, in units of the cell vectors:
Pd: 0.750 0.250 0.500
Pd: 0.250 0.750 0.500
Pd: 0.082 0.581 0.163
Pd: 0.000 0.000 0.000
Pd: 0.918 0.419 0.837
Pd: 0.419 0.919 0.837
Pd: 0.581 0.081 0.163
Pb: 0.666 0.666 0.331
Pb: 0.334 0.334 0.669
Au: 0.500 0.500 0.000
Au: 0.160 0.160 0.319
Au: 0.840 0.840 0.681

Entry 7:
Density functional theory data (PBE) for a relaxed structure of PdPb5Au2.

Computed properties:
* calculated volume: 419 Å³/cell
* formation energy from the elements: -0.090 eV per atom

Cell lengths 4.426, 7.806, 12.123 Å; angles 90.00, 90.00, 90.00 degrees
Sites, in units of the cell vectors:
Pd: 0.000 0.000 0.500
Pd: 0.000 0.500 0.000
Pb: 0.500 0.315 0.084
Pb: 0.500 0.685 0.916
Pb: 0.500 0.815 0.416
Pb: 0.500 0.185 0.584
Pb: 0.000 0.832 0.705
Pb: 0.000 0.168 0.295
Pb: 0.000 0.332 0.795
Pb: 0.000 0.668 0.205
Pb: 0.000 0.500 0.500
Pb: 0.000 0.000 0.000
Au: 0.500 0.448 0.320
Au: 0.500 0.552 0.680
Au: 0.500 0.052 0.820
Au: 0.500 0.948 0.180

Entry 8:
Density functional theory data (PBE) for a relaxed structure of Pd3PbAu2.

Computed properties:
* calculated volume: 223 Å³/cell
* relative energy among the computed polymorphs: 8.2 kJ per mole of atoms
* formation energy from the elements: -0.061 eV per atom

Cell lengths 5.473, 6.432, 6.432 Å; angles 99.83, 90.00, 90.00 degrees
Sites, in units of the cell vectors:
Pd: 0.750 0.004 0.996
Pd: 0.750 0.079 0.582
Pd: 0.250 0.582 0.079
Pd: 0.750 0.418 0.921
Pd: 0.250 0.921 0.418
Pd: 0.250 0.996 0.004
Pb: 0.250 0.273 0.727
Pb: 0.750 0.727 0.273
Au: 0.000 0.300 0.300
Au: 0.500 0.300 0.300
Au: 0.000 0.700 0.700
Au: 0.500 0.700 0.700

Entry 9:
Density functional theory data (PBE) for a relaxed structure of Pd8Pb2Au3.

Computed properties:
* calculated volume: 234 Å³/cell
* relative energy among the computed polymorphs: 0.0 kJ per mole of atoms
* formation energy from the elements: -0.113 eV per atom

Cell lengths 4.911, 6.437, 7.690 Å; angles 83.55, 76.91, 83.71 degrees
Sites, in units of the cell vectors:
Pd: 0.215 0.576 0.572
Pd: 0.785 0.424 0.428
Pd: 0.928 0.143 0.142
Pd: 0.072 0.857 0.858
Pd: 0.712 0.567 0.075
Pd: 0.433 0.145 0.647
Pd: 0.567 0.855 0.353
Pd: 0.288 0.433 0.925
Pb: 0.339 0.268 0.306
Pb: 0.661 0.732 0.694
Au: 0.500 0.000 0.000
Au: 0.868 0.280 0.784
Au: 0.132 0.720 0.216

Entry 10:
Density functional theory data (PBE) for a relaxed structure of Pd12Pb2Au5.

Computed properties:
* calculated volume: 332 Å³/cell
* formation energy from the elements: -0.091 eV per atom

Cell lengths 8.527, 7.693, 6.083 Å; angles 92.51, 90.00, 123.66 degrees
Sites, in units of the cell vectors:
Pd: 0.140 0.280 0.890
Pd: 0.054 0.603 0.801
Pd: 0.548 0.603 0.801
Pd: 0.166 0.795 0.402
Pd: 0.628 0.795 0.402
Pd: 0.451 0.902 0.712
Pd: 0.549 0.098 0.288
Pd: 0.834 0.205 0.598
Pd: 0.372 0.205 0.598
Pd: 0.946 0.397 0.199
Pd: 0.452 0.397 0.199
Pd: 0.860 0.720 0.110
Pb: 0.768 0.000 0.000
Pb: 0.232 0.000 0.000
Au: 0.236 0.472 0.498
Au: 0.337 0.673 0.098
Au: 0.000 0.000 0.500
Au: 0.663 0.327 0.902
Au: 0.764 0.528 0.502

Entry 11:
Density functional theory data (PBE) for a relaxed structure of Pd2PbAu2.

Computed properties:
* calculated volume: 102 Å³/cell
* relative energy among the computed polymorphs: 12.6 kJ per mole of atoms
* formation energy from the elements: -0.009 eV per atom

Cell lengths 3.875, 3.875, 7.302 Å; angles 74.62, 74.62, 90.00 degrees
Sites, in units of the cell vectors:
Pb: 0.000 0.000 0.000
Au: 0.750 0.250 0.500
Au: 0.250 0.750 0.500
Pd: 0.402 0.402 0.197
Pd: 0.598 0.598 0.803

Entry 12:
Density functional theory data (PBE) for a relaxed structure of Pm2Pd4Pb2Au.

Computed properties:
* calculated volume: 214 Å³/cell
* formation energy from the elements: -0.285 eV per atom

Cell lengths 6.709, 6.709, 6.709 Å; angles 90.10, 119.94, 119.94 degrees
Sites, in units of the cell vectors:
Pm: 0.000 0.708 0.708
Pm: 0.000 0.292 0.292
Pd: 0.000 0.718 0.282
Pd: 0.435 0.718 0.718
Pd: 0.000 0.282 0.718
Pd: 0.565 0.282 0.282
Pb: 0.500 0.750 0.250
Pb: 0.500 0.250 0.750
Au: 0.000 0.000 0.000